# 1
Na2TlSi2Pd5 | the Alexandria database | GGA-PBE | optimized geometry; formation energy from raw total energies = -0.43 eV per atom; size of the total moment = 0.00 μB/f.u.; E_tot = -4.61 eV/atom
1.0
3.3466 0.0000 0.0000
0.0000 10.2974 0.0000
0.0000 0.0000 10.2974
Na Pd Si Tl
4 10 4 2
Cartesian
0.0000 8.4964 6.9497
0.0000 6.9497 1.8010
0.0000 3.3477 8.4964
0.0000 1.8010 3.3477
1.6733 5.8510 7.3943
1.6733 8.0518 9.5951
1.6733 2.2456 0.7023
1.6733 0.0000 5.1487
1.6733 7.3943 4.4464
1.6733 4.4464 2.9031
1.6733 0.7023 8.0518
1.6733 9.5951 2.2456
1.6733 5.1487 0.0000
1.6733 2.9031 5.8510
0.0000 9.0151 3.8664
0.0000 3.8664 1.2823
0.0000 1.2823 6.4310
0.0000 6.4310 9.0151
0.0000 0.0000 0.0000
0.0000 5.1487 5.1487



# 2
NaSmPd2 | the Alexandria database | GGA-PBE | optimized geometry; ΔE_f = -478 meV/atom; size of the total moment = 0.00 μB/f.u.; energy above the lowest structure with this stoichiometry = 0 meV/atom; E_tot = -4.58 eV/atom
1.0
-3.4698 -0.1495 0.4089
0.4138 -2.1524 2.7248
0.2779 5.6574 4.4268
Pd Na Sm
2 1 1
Cartesian
0.0649 1.3221 1.0345
0.2130 4.3353 3.3922
-1.3890 1.6778 3.7802
-1.5280 -1.1509 1.5668



# 3
NaSm2Pd | the Alexandria database | GGA-PBE | optimized geometry; ΔE_f = -279 meV/atom; size of the total moment = 0.00 μB/f.u.; energy above the lowest structure with this stoichiometry = 0 meV/atom; E_tot = -4.27 eV/atom
1.0
3.5678 0.0000 0.0000
0.0000 3.5678 0.0000
0.0000 0.0000 9.3164
Na Pd Sm
1 1 2
Cartesian
1.7839 1.7839 4.6582
1.7839 1.7839 0.0000
0.0000 0.0000 7.6056
0.0000 0.0000 1.7108



# 4
NaSm2Pd | the Alexandria database | GGA-PBE | optimized geometry; ΔE_f = -152 meV/atom; size of the total moment = 0.00 μB/f.u.; energy above the lowest structure with this stoichiometry = 127 meV/atom; E_tot = -4.14 eV/atom
1.0
4.1298 0.0000 0.0000
2.0649 3.5765 0.0000
2.0649 1.1922 10.5382
Pd Sm Na
1 2 1
Cartesian
4.1298 2.3844 5.2691
6.1947 3.5765 3.7414
2.0649 1.1922 6.7968
0.0000 0.0000 0.0000



# 5
Na3SmPd8 | the Alexandria database | GGA-PBE | optimized geometry; ΔE_f = -385 meV/atom; size of the total moment = 0.00 μB/f.u.; E_tot = -4.57 eV/atom
1.0
-0.5937 -3.2205 4.3113
4.1252 -0.7161 3.4325
-1.5958 5.5872 7.3532
Na Pd Sm
3 8 1
Cartesian
-1.5512 5.4765 7.2766
0.9147 0.9577 7.6400
-0.0791 3.4304 9.3502
2.2209 0.1273 12.2873
0.9331 2.5287 12.2154
3.2935 -1.0149 6.4941
2.5158 1.7268 10.1460
0.1721 0.4830 10.5825
1.2410 -0.6586 4.7862
-0.0358 1.7058 4.6686
0.9456 -2.2610 6.9313
2.4957 -1.3593 9.5263



# 6
NaSmPd2 | the Alexandria database | GGA-PBE | optimized geometry; ΔE_f = -308 meV/atom; size of the total moment = 0.00 μB/f.u.; energy above the lowest structure with this stoichiometry = 170 meV/atom; E_tot = -4.41 eV/atom
1.0
-1.2853 1.9491 -2.9614
-0.0453 -1.5823 -3.4228
-7.6470 -2.5830 -0.7822
Pd Na Sm
2 1 1
Cartesian
-6.8389 -1.7018 -5.3550
-2.1387 -0.5143 -1.8114
-4.4888 -1.1081 -3.5832
0.0000 0.0000 0.0000